# K2Ni2S3O12 (PBE with a Hubbard U, optimized geometry)
data_K2Ni2S3O12
_symmetry_space_group_name_H-M 'P 21 3'
_symmetry_Int_Tables_number 198
_symmetry_space_group_name_Hall 'P 2ac 2ab 3'
_cell_length_a 9.979
_cell_length_b 9.979
_cell_length_c 9.979
_cell_angle_alpha 90.00
_cell_angle_beta 90.00
_cell_angle_gamma 90.00
loop_
_atom_site_label
_atom_site_type_symbol
_atom_site_fract_x
_atom_site_fract_y
_atom_site_fract_z
K1 K 0.050 0.050 0.050
K2 K 0.185 0.315 0.685
Ni1 Ni 0.094 0.906 0.406
Ni2 Ni 0.165 0.665 0.835
S1 S 0.020 0.218 0.377
O1 O 0.003 0.556 0.759
O2 O 0.004 0.076 0.329
O3 O 0.038 0.809 0.225
O4 O 0.095 0.837 0.747
# Energy (Ha/atom): -0.2096